# 1
Material: NbNiBr2
Method: DFT, PBE-GGA
State: optimized geometry

abc: 6.5125 6.5125 6.5125
angles: 90.00 90.00 90.00
Last column: nearest neighbours and their distance in Å.
Fractional coordinates of all 16 atoms:
Nb1 0.0000 0.0000 0.0000  8 Br 2.82
Nb2 0.0000 0.5000 0.5000  8 Br 2.82
Nb3 0.5000 0.0000 0.5000  8 Br 2.82
Nb4 0.5000 0.5000 0.0000  8 Br 2.82
Ni1 0.0000 0.0000 0.5000  8 Br 2.82
Ni2 0.0000 0.5000 0.0000  8 Br 2.82
Ni3 0.5000 0.0000 0.0000  8 Br 2.82
Ni4 0.5000 0.5000 0.5000  8 Br 2.82
Br1 0.2500 0.2500 0.2500  4 Nb 2.82, 4 Ni 2.82
Br2 0.2500 0.2500 0.7500  4 Nb 2.82, 4 Ni 2.82
Br3 0.2500 0.7500 0.2500  4 Nb 2.82, 4 Ni 2.82
Br4 0.2500 0.7500 0.7500  4 Nb 2.82, 4 Ni 2.82
Br5 0.7500 0.2500 0.2500  4 Nb 2.82, 4 Ni 2.82
Br6 0.7500 0.2500 0.7500  4 Nb 2.82, 4 Ni 2.82
Br7 0.7500 0.7500 0.2500  4 Nb 2.82, 4 Ni 2.82
Br8 0.7500 0.7500 0.7500  4 Ni 2.82, 4 Nb 2.82

Summary:
SG: Fm-3m (225)
Total magnetic moment: 0.0 Bohr magnetons per cell

---

# 2
Material: Rb2NbNiBr6
Method: DFT, PBE-GGA
State: optimized geometry

abc: 7.5162 7.5162 7.5162
angles: 119.75 119.75 90.43
Last column: nearest neighbours and their distance in Å.
Fractional coordinates of all 10 atoms:
Rb1 0.2500 0.7500 0.5000  12 Br 3.76-3.77
Rb2 0.7500 0.2500 0.5000  12 Br 3.76-3.77
Nb1 0.0000 0.0000 0.0000  6 Br 2.67-2.68
Ni1 0.5000 0.5000 0.0000  6 Br 2.62-2.66
Br1 0.2508 0.2508 0.5016  1 Ni 2.66, 1 Nb 2.68
Br2 0.2508 0.7492 0.0000  1 Ni 2.66, 1 Nb 2.68
Br3 0.2526 0.2526 0.0000  1 Ni 2.62, 1 Nb 2.67
Br4 0.7474 0.7474 0.0000  1 Ni 2.62, 1 Nb 2.67
Br5 0.7492 0.2508 0.0000  1 Ni 2.66, 1 Nb 2.68
Br6 0.7492 0.7492 0.4984  1 Ni 2.66, 1 Nb 2.68

Summary:
SG: I4/mmm (139)
Total magnetic moment: 1.0 Bohr magnetons per cell

---

# 3
Material: Ti2NbNiBr
Method: DFT, PBE-GGA
State: optimized geometry

abc: 4.6197 4.6197 4.5186
angles: 90.00 90.00 90.00
Last column: nearest neighbours and their distance in Å.
Fractional coordinates of all 5 atoms:
Ti1 0.0000 0.5000 0.0000  2 Ni 2.31
Ti2 0.5000 0.0000 0.0000  2 Ni 2.31
Nb1 0.0000 0.0000 0.5000  8 Ti 3.23, 4 Br 3.27
Ni1 0.5000 0.5000 0.0000  2 Br 2.26, 4 Ti 2.31
Br1 0.5000 0.5000 0.5000  2 Ni 2.26

Summary:
SG: P4/mmm (123)
Total magnetic moment: 0.0 Bohr magnetons per cell

---

# 4
Material: NbZnNi2Br
Method: DFT, PBE-GGA
State: optimized geometry

abc: 4.7323 4.7323 4.9707
angles: 90.00 90.00 90.00
Last column: nearest neighbours and their distance in Å.
Fractional coordinates of all 5 atoms:
Nb1 0.0000 0.0000 0.0000  4 Ni 2.37, 2 Br 2.49
Zn1 0.5000 0.5000 0.5000  4 Br 3.35, 8 Ni 3.43
Ni1 0.0000 0.5000 0.0000  2 Nb 2.37
Ni2 0.5000 0.0000 0.0000  2 Nb 2.37
Br1 0.0000 0.0000 0.5000  2 Nb 2.49

Summary:
SG: P4/mmm (123)
Total magnetic moment: 0.0 Bohr magnetons per cell

---

# 5
Material: Nb2ZnNiBr
Method: DFT, PBE-GGA
State: optimized geometry

abc: 4.7161 4.7161 4.6944
angles: 90.00 90.00 90.00
Last column: nearest neighbours and their distance in Å.
Fractional coordinates of all 5 atoms:
Nb1 0.0000 0.5000 0.0000  2 Br 2.36
Nb2 0.5000 0.0000 0.0000  2 Br 2.36
Zn1 0.0000 0.0000 0.5000  2 Br 2.35
Ni1 0.5000 0.5000 0.5000  8 Nb 3.33, 4 Zn 3.33
Br1 0.0000 0.0000 0.0000  2 Zn 2.35, 4 Nb 2.36

Summary:
SG: P4/mmm (123)
Total magnetic moment: 0.0 Bohr magnetons per cell

---

# 6
Material: NpNbBr
Method: DFT, PBE-GGA
State: optimized geometry

abc: 6.4940 13.1974 3.6391
angles: 90.00 90.00 90.00
Last column: nearest neighbours and their distance in Å.
Fractional coordinates of all 12 atoms:
Np1 0.1037 0.0422 0.0000  4 Np 2.52-2.63
Np2 0.3963 0.0422 0.5000  4 Np 2.52-2.63
Np3 0.6037 0.9578 0.0000  4 Np 2.52-2.63
Np4 0.8963 0.9578 0.5000  4 Np 2.52-2.63
Nb1 0.0900 0.8149 0.0004  1 Br 2.43
Nb2 0.4100 0.8149 0.5004  1 Br 2.43
Nb3 0.5900 0.1851 0.0004  1 Br 2.43
Nb4 0.9100 0.1851 0.5004  1 Br 2.43
Br1 0.0173 0.3615 0.5034  1 Nb 2.43
Br2 0.4827 0.3615 0.0034  1 Nb 2.43
Br3 0.5173 0.6385 0.5034  1 Nb 2.43
Br4 0.9827 0.6385 0.0034  1 Nb 2.43

Summary:
SG: Pca2_1 (29)
Total magnetic moment: 0.0 Bohr magnetons per cell

---

| no. | calculated density (g/cm³) | E_form (uncorrected) (kcal/mol of atoms) | volume (Å³/cell) |
| --- | --- | --- | --- |
| 1 | 7.49 | 10.997 | 276.2 |
| 2 | 4.42 | -21.336 | 301.4 |
| 3 | 5.63 | 20.665 | 96.4 |
| 4 | 5.30 | 21.970 | 111.3 |
| 5 | 6.20 | 33.669 | 104.4 |
| 6 | 8.73 | 3.320 | 311.9 |